This record from Alexandria describes a relaxed structure of HfMn2Fe2. The functional is GGA-PBE.

Computed properties:
Calculated formation energy (eV per atom): 0.13
Offset from the most stable computed form (meV/atom): 130
D(E_F) (states/eV per atom): 1.013

```
data_HfMn2Fe2
_chemical_formula_sum 'Hf2 Mn4 Fe4'
_space_group_name_H-M_alt 'P 4/m b m'
_space_group_IT_number 127
_space_group_name_Hall '-P 4 2ab'
_cell_length_a 6.942
_cell_length_b 6.942
_cell_length_c 2.594
_cell_angle_alpha 90.00
_cell_angle_beta 90.00
_cell_angle_gamma 90.00
loop_
_atom_site_label
_atom_site_fract_x
_atom_site_fract_y
_atom_site_fract_z
Hf1 0.000 0.000 0.000
Mn1 0.168 0.332 0.500
Fe1 0.124 0.624 0.000
```